Density functional theory data (PBE) for an optimized crystal structure of TeIBr3.

## Properties
Magnetization   0.0000 μB per atom
VASP energy   -44.35 eV/cell
Formation energy without anion corrections   -0.28 eV per atom
Mass density   2.77 g/cm3

Cell: 8.8635 9.6335 13.8929 Å, 90.00 93.08 90.00°
Space group P2/c (No. 13)
Unique sites:
Te: 0.0985 0.1485 0.1095 [4 per cell]
I: 0.1134 0.4333 0.1217 [4 per cell]
Br: 0.0485 0.1690 0.5713 [4 per cell]
Br: 0.2091 0.1176 0.2972 [4 per cell]
Br: 0.3615 0.1174 0.0457 [4 per cell]

---

Density functional theory data (PBE) for an optimized crystal structure of BaHfB2.

## Properties
Magnetization   0.0000 μB per atom
VASP energy   -87.26 eV/cell
Mass density   5.53 g/cm3

Cell: 5.3687 5.3687 14.0741 Å, 90.00 90.00 90.00°
Space group I-42d (No. 122)
Unique sites:
Ba: 0.0000 0.0000 0.0000 [4 per cell]
Hf: 0.0000 0.0000 0.5000 [4 per cell]
B: 0.1114 0.2500 0.6250 [8 per cell]

---

Density functional theory data (PBE) for an optimized crystal structure of PmInBi2.

## Properties
Magnetization   0.0000 μB per atom
VASP energy   -17.03 eV/cell
Mass density   9.25 g/cm3

Cell: 4.2856 4.2856 6.6239 Å, 90.00 90.00 90.00°
Space group P4/mmm (No. 123)
Unique sites:
Pm: 0.0000 0.0000 0.0000 [1 per cell]
In: 0.0000 0.0000 0.5000 [1 per cell]
Bi: 0.5000 0.5000 0.2417 [2 per cell]

---

Density functional theory data (PBE) for an optimized crystal structure of Er4Ge8Rh.

## Properties
Magnetization   0.0000 μB per atom
VASP energy   -70.85 eV/cell
Mass density   8.49 g/cm3

Cell: 4.0044 4.1006 16.1258 Å, 90.00 90.00 90.00°
Space group Pmm2 (No. 25)
Unique sites:
Er: 0.0000 0.0000 0.0000 [1 per cell]
Er: 0.0000 0.5000 0.4869 [1 per cell]
Er: 0.5000 0.0000 0.7891 [1 per cell]
Er: 0.5000 0.5000 0.2845 [1 per cell]
Ge: 0.0000 0.0000 0.3299 [1 per cell]
Ge: 0.0000 0.0000 0.6204 [1 per cell]
Ge: 0.0000 0.5000 0.1401 [1 per cell]
Ge: 0.0000 0.5000 0.8556 [1 per cell]
Ge: 0.5000 0.0000 0.1447 [1 per cell]
Ge: 0.5000 0.0000 0.4357 [1 per cell]
Ge: 0.5000 0.5000 0.6193 [1 per cell]
Ge: 0.5000 0.5000 0.9572 [1 per cell]
Rh: 0.0000 0.5000 0.7057 [1 per cell]